A plane-wave DFT calculation with PBE+U was carried out for a geometry-optimized MnNiO2 structure.

Cell lengths 3.3983, 6.8006, 7.0294 Å; angles 129.82, 50.25, 108.95 degrees
Last column: nearest neighbours and their distance in Å.
Sites, in units of the cell vectors:
Mn  0.1200  0.0881  0.4816  5 O 2.08-2.17
Mn  0.1216  0.5874  0.4804  5 O 2.08-2.17
O  0.6202  0.3364  0.9809  3 Ni 2.08-2.10, 2 Mn 2.17
O  0.7371  0.2796  0.4805  3 Mn 2.08-2.13, 2 Ni 2.17
O  0.7366  0.7799  0.4813  3 Mn 2.08-2.13, 2 Ni 2.17
O  0.6218  0.8360  0.9810  3 Ni 2.08-2.10, 2 Mn 2.17
Ni  0.2454  0.5269  0.9810  5 O 2.08-2.17
Ni  0.2447  0.0263  0.9809  5 O 2.08-2.17

Computed properties:
Raw total energy ... -0.45810 Ry per atom
N(E_F) ... 0.06 states/eV per cell
Theoretical density ... 5.1 g/cm3
Offset from the most stable computed form ... 82.5 meV per atom
Total moment ... 10.00 Bohr magnetons per cell